[1]
Material: Er3TmIn2
Method: DFT, GGA-PBE
State: relaxed

Values from the calculation:
Calculated formation energy = -0.316 eV/atom
Final energy = -4.26 eV/atom
Size of the total moment = 0.000 μB/atom
Space group = Pnma (62)
Energy above the most stable polymorph in this dataset = 0 meV per atom

```
Er3TmIn2
1.0
-1.912 1.829 -2.436
-8.173 0.858 7.062
6.553 14.589 5.811
Tm In Er
4 8 12
Cartesian
-2.869 7.791 4.121
-2.649 14.592 11.711
-0.664 9.485 6.317
-0.884 2.684 -1.273
0.572 10.617 3.541
-4.670 13.184 9.585
-0.596 12.727 6.043
1.137 4.092 0.853
-1.736 2.407 1.843
-4.105 6.659 6.897
-2.937 4.549 4.395
-1.797 14.869 8.595
-4.888 3.120 2.199
3.354 9.079 2.857
2.584 12.012 5.664
1.355 14.156 8.239
-6.887 8.197 7.581
-1.672 5.635 1.561
-6.117 5.264 4.774
-6.334 1.717 4.935
0.476 7.351 3.819
2.801 15.559 5.503
-1.861 11.641 8.877
-4.009 9.925 6.619
```

=====

[2]
Material: Dy2UFe3
Method: DFT, GGA-PBE
State: relaxed

Values from the calculation:
Calculated formation energy = -0.086 eV/atom
Final energy = -7.73 eV/atom
Size of the total moment = 0.348 μB/atom
Space group = Pnnm (58)

```
Dy2UFe3
1.0
4.104 0.000 0.000
0.000 5.046 0.000
0.000 0.000 10.841
Dy Fe U
4 6 2
Cartesian
0.000 3.631 7.709
2.052 1.108 8.552
2.052 3.938 2.289
0.000 1.415 3.132
2.052 3.656 10.167
0.000 1.133 6.094
2.052 1.390 0.674
2.052 2.523 5.420
0.000 3.913 4.747
0.000 0.000 0.000
2.052 0.000 5.420
0.000 2.523 0.000
```

=====

[3]
Material: TiAuC3
Method: DFT, GGA-PBE
State: relaxed

Values from the calculation:
Calculated formation energy = 2.128 eV/atom
Final energy = -5.64 eV/atom
Size of the total moment = 0.000 μB/atom
Space group = Pm-3m (221)
Energy above the most stable polymorph in this dataset = 0 meV per atom

```
TiAuC3
1.0
-1.351 1.585 3.512
2.675 -2.293 2.064
2.773 2.984 -0.280
C Ti Au
3 1 1
Cartesian
1.387 1.492 -0.140
-0.675 0.792 1.756
1.338 -1.147 1.032
0.000 0.000 0.000
2.049 1.138 2.648
```

=====

Number 1: V 27.63 Å³/atom. Number 2: V 18.71 Å³/atom. Number 3: V 13.62 Å³/atom.